No. 1
# PBE PmDy2H, relaxed
# VASP energy = -4.52 eV/atom
data_PmDy2H
_chemical_formula_sum 'Pm1 Dy2 H1'
_symmetry_space_group_name_H-M 'P 1'
_symmetry_Int_Tables_number 1
_cell_length_a 8.8133
_cell_length_b 8.8133
_cell_length_c 8.8133
_cell_angle_alpha 23.68
_cell_angle_beta 23.68
_cell_angle_gamma 23.68
loop_
_symmetry_equiv_pos_as_xyz
'x,y,z'
loop_
_atom_site_label
_atom_site_type_symbol
_atom_site_fract_x
_atom_site_fract_y
_atom_site_fract_z
Pm1 Pm 0.0000 0.0000 0.0000
Dy1 Dy 0.2201 0.2201 0.2201
Dy2 Dy 0.7799 0.7799 0.7799
H1 H 0.5000 0.5000 0.5000

***

No. 2
# PBE PmDyH4, relaxed
# VASP energy = -4.47 eV/atom
data_PmDyH4
_chemical_formula_sum 'Pm2 Dy2 H8'
_symmetry_space_group_name_H-M 'P 1'
_symmetry_Int_Tables_number 1
_cell_length_a 6.4969
_cell_length_b 6.4969
_cell_length_c 6.4969
_cell_angle_alpha 131.96
_cell_angle_beta 131.96
_cell_angle_gamma 70.30
loop_
_symmetry_equiv_pos_as_xyz
'x,y,z'
loop_
_atom_site_label
_atom_site_type_symbol
_atom_site_fract_x
_atom_site_fract_y
_atom_site_fract_z
Pm1 Pm 0.3750 0.6250 0.7500
Pm2 Pm 0.6250 0.3750 0.2500
Dy1 Dy 0.1250 0.8750 0.2500
Dy2 Dy 0.8750 0.1250 0.7500
H1 H 0.0000 0.2390 0.2390
H2 H 0.0000 0.7610 0.7610
H3 H 0.2390 0.0000 0.7390
H4 H 0.2390 0.5000 0.2390
H5 H 0.5000 0.2390 0.7390
H6 H 0.5000 0.7610 0.2610
H7 H 0.7610 0.0000 0.2610
H8 H 0.7610 0.5000 0.7610

***

Q: Which of these has the lowest VASP energy?
A: PmDy2H